# MnH12N2Cl4O2

MnH12N2Cl4O2 at its PBEsol-relaxed geometry (SCAN, Alexandria).

Cell lengths 7.3273, 7.3273, 8.1326 Å; angles 90.00, 90.00, 90.00 degrees
Space group I-42m (No. 121)
Inequivalent atoms, fractional coordinates:
Mn: 0.0000 0.0000 0.0000 x2
H: 0.0758 0.4117 0.8244 x16
H: 0.0771 0.0771 0.3343 x8
N: 0.0000 0.5000 0.2500 x4
Cl: 0.2435 0.2435 0.9851 x8
O: 0.0000 0.0000 0.2621 x4

**VASP energy**: -6.7515 eV/atom

# MnH4Cl2O2

MnH4Cl2O2 at its PBEsol-relaxed geometry (SCAN, Alexandria).

Cell lengths 7.4441, 8.4799, 3.6622 Å; angles 90.00, 100.80, 90.00 degrees
Space group C2/m (No. 12)
Inequivalent atoms, fractional coordinates:
Mn: 0.0000 0.0000 0.0000 x2
H: 0.0893 0.3156 0.1597 x8
Cl: 0.2406 0.0000 0.5779 x4
O: 0.0000 0.2460 0.0000 x4

**VASP energy**: -7.9648 eV/atom

# MoHCl3

MoHCl3 at its PBEsol-relaxed geometry (SCAN, Alexandria).

Cell lengths 4.7103, 4.7103, 4.7103 Å; angles 90.00, 90.00, 90.00 degrees
Space group Pm-3m (No. 221)
Inequivalent atoms, fractional coordinates:
Mo: 0.0000 0.0000 0.0000 x1
H: 0.5000 0.5000 0.5000 x1
Cl: 0.0000 0.0000 0.5000 x3

**VASP energy**: -12.5927 eV/atom

Q: What is the formula in the second record?
A: MnH4Cl2O2